A:
# IrW2C PBE optimized geometry
# **Space group**: R3m
data_IrW2C
_chemical_formula_sum 'Ir1 W2 C1'
_cell_length_a 2.8980
_cell_length_b 2.8980
_cell_length_c 7.3589
_cell_angle_alpha 78.64
_cell_angle_beta 78.64
_cell_angle_gamma 60.00
_symmetry_space_group_name_H-M 'P 1'
_symmetry_Int_Tables_number 1
loop_
_symmetry_equiv_pos_as_xyz
'x,y,z'
loop_
_atom_site_label
_atom_site_type_symbol
_atom_site_fract_x
_atom_site_fract_y
_atom_site_fract_z
C1 C 0.6655 0.6655 0.0034
Ir1 Ir 0.5019 0.5019 0.4942
W1 W 0.2703 0.2703 0.1890
W2 W 0.0622 0.0622 0.8133


B:
# IrW2C PBE optimized geometry
# **Space group**: I-42d
data_IrW2C
_chemical_formula_sum 'Ir2 W4 C2'
_cell_length_a 4.9866
_cell_length_b 4.9866
_cell_length_c 6.5034
_cell_angle_alpha 67.46
_cell_angle_beta 67.46
_cell_angle_gamma 90.00
_symmetry_space_group_name_H-M 'P 1'
_symmetry_Int_Tables_number 1
loop_
_symmetry_equiv_pos_as_xyz
'x,y,z'
loop_
_atom_site_label
_atom_site_type_symbol
_atom_site_fract_x
_atom_site_fract_y
_atom_site_fract_z
Ir1 Ir 0.7500 0.2500 0.5000
Ir2 Ir 0.0000 0.0000 0.0000
W1 W 0.8750 0.7944 0.7500
W2 W 0.3750 0.4556 0.7500
W3 W 0.5444 0.1250 0.2500
W4 W 0.2056 0.6250 0.2500
C1 C 0.2500 0.7500 0.5000
C2 C 0.5000 0.5000 0.0000


Order of stability, best first: A, B